First-principles (PBE-GGA) data for a geometry-optimized Ce3AsCl3 structure, as listed in Alexandria.

The space-group type is R-3. The value obtained for the calculated density is 4620 kg/m3. The total energy is -78.77 eV for the cell shown.

```
14
Lattice="7.096 0.000 0.000 3.548 6.145 0.000 3.548 2.048 9.918" Properties=species:S:1:pos:R:3 pbc="T T T"
Ce 4.702 4.148 1.652
Ce 8.249 1.998 1.652
Ce 8.338 6.145 1.652
Ce 5.855 2.049 8.266
Ce 5.943 6.196 8.266
Ce 9.490 4.046 8.266
As 3.548 2.048 0.001
As 10.644 6.145 9.918
Cl 8.309 6.096 6.610
Cl 8.221 2.047 6.610
Cl 4.759 4.148 6.610
Cl 9.433 4.046 3.309
Cl 5.971 6.146 3.309
Cl 5.883 2.098 3.309
```